(1)
Computed, not measured: a geometry-optimized CsInTe2 structure at the GGA-PBEsol level of DFT.

Values from the calculation:
Total magnetization in μB per cell: 0.00
Energy in eV per atom: -3.425

a = 7.6032 Å, b = 7.6032 Å, c = 7.0190 Å
α = 104.90°, β = 104.90°, γ = 111.81°
With the nearest neighbours (Å) after each atom.
Positions (direct):
Cs: 0.1284 0.8716 0.7500  6 Te 3.87-3.95
Cs: 0.8716 0.1284 0.2500  6 Te 3.87-3.95
In: 0.4946 0.5054 0.2500  4 Te 2.81
In: 0.5054 0.4946 0.7500  4 Te 2.81
Te: 0.1723 0.4207 0.8784  2 In 2.81
Te: 0.4207 0.1723 0.3784  2 In 2.81
Te: 0.5793 0.8277 0.6216  2 In 2.81
Te: 0.8277 0.5793 0.1216  2 In 2.81


(2)
Computed, not measured: a geometry-optimized La2BeW structure at the GGA-PBEsol level of DFT.

Values from the calculation:
Total magnetization in μB per cell: 0.00
N(E_F) in states/eV/cell: 4.5
Formation energy in meV per atom: 683

a = 3.5493 Å, b = 3.5493 Å, c = 7.1917 Å
α = 90.00°, β = 90.00°, γ = 90.00°
With the nearest neighbours (Å) after each atom.
Positions (direct):
La: 0.0000 0.0000 0.2494  4 Be 3.08, 4 W 3.09
La: 0.0000 0.0000 0.7506  4 Be 3.08, 4 W 3.09
Be: 0.5000 0.5000 0.0000  8 La 3.08
W: 0.5000 0.5000 0.5000  8 La 3.09


(3)
Computed, not measured: a geometry-optimized NaLi3Br structure at the GGA-PBEsol level of DFT.

Values from the calculation:
Total magnetization in μB per cell: 0.00
N(E_F) in states/eV/cell: 2.9
Energy in eV per atom: -2.237

a = 5.1212 Å, b = 5.1212 Å, c = 5.1212 Å
α = 90.00°, β = 90.00°, γ = 90.00°
With the nearest neighbours (Å) after each atom.
Positions (direct):
Na: 0.0000 0.0000 0.0000  12 Li 3.62
Li: 0.0000 0.5000 0.5000  2 Br 2.56
Li: 0.5000 0.0000 0.5000  2 Br 2.56
Li: 0.5000 0.5000 0.0000  2 Br 2.56
Br: 0.5000 0.5000 0.5000  6 Li 2.56


(4)
Computed, not measured: a geometry-optimized Cd2ReAu structure at the GGA-PBEsol level of DFT.

Values from the calculation:
Total magnetization in μB per cell: 0.00
N(E_F) in states/eV/cell: 2.5
Formation energy in meV per atom: 481

a = 5.8267 Å, b = 5.8267 Å, c = 5.8267 Å
α = 152.12°, β = 129.63°, γ = 58.55°
With the nearest neighbours (Å) after each atom.
Positions (direct):
Cd: 0.0000 0.0000 0.0000  4 Cd 2.81-3.08, 4 Re 2.85, 2 Au 2.94
Cd: 0.7303 0.2303 0.5000  4 Cd 2.81-3.08, 4 Au 2.86, 2 Re 2.87
Re: 0.4845 0.4845 0.0000  2 Au 2.73, 2 Re 2.81, 6 Cd 2.85-2.87
Au: 0.2538 0.7538 0.5000  2 Re 2.73, 2 Au 2.81, 6 Cd 2.86-2.94


(5)
Computed, not measured: a geometry-optimized IrPbCl2 structure at the GGA-PBEsol level of DFT.

Values from the calculation:
Total magnetization in μB per cell: 1.22
N(E_F) in states/eV/cell: 4.2
Energy in eV per atom: -3.874

a = 4.8125 Å, b = 4.8125 Å, c = 4.8125 Å
α = 120.11°, β = 120.11°, γ = 89.81°
With the nearest neighbours (Å) after each atom.
Positions (direct):
Ir: 0.0000 0.0000 0.0000  8 Cl 2.95
Pb: 0.5000 0.5000 0.0000  8 Cl 2.95
Cl: 0.2500 0.7500 0.5000  4 Pb 2.95, 4 Ir 2.95
Cl: 0.7500 0.2500 0.5000  4 Pb 2.95, 4 Ir 2.95


(6)
Computed, not measured: a geometry-optimized BaTeW2 structure at the GGA-PBEsol level of DFT.

Values from the calculation:
Total magnetization in μB per cell: 0.00
N(E_F) in states/eV/cell: 3.7
Energy in eV per atom: -7.244

a = 2.9946 Å, b = 5.2812 Å, c = 6.0169 Å
α = 90.00°, β = 90.44°, γ = 90.00°
With the nearest neighbours (Å) after each atom.
Positions (direct):
Ba: 0.0000 0.0000 0.0000  2 Ba 2.99, 2 Te 3.35
Te: 0.5000 0.0000 0.5000  4 W 2.89, 2 Te 2.99
W: 0.3707 0.5000 0.3144  1 W 2.36
W: 0.6293 0.5000 0.6856  1 W 2.36